Here is an optimized crystal structure of SrTbNp2O8 from Alexandria. Energies are from PBE-GGA.

```
SrTbNp2O8
1.0
-2.7207 2.7207 5.3044
2.7207 -2.7207 5.3044
2.7207 2.7207 -5.3044
Sr Tb Np O
1 1 2 8
direct
0.0000 0.0000 0.0000 Sr
0.2500 0.7500 0.5000 Tb
0.5000 0.5000 0.0000 Np
0.7500 0.2500 0.5000 Np
0.1299 0.1481 0.5344 O
0.1299 0.5955 0.9818 O
0.4045 0.3863 0.5344 O
0.4045 0.8701 0.0182 O
0.6137 0.1481 0.0182 O
0.6137 0.5955 0.4656 O
0.8519 0.3863 0.9818 O
0.8519 0.8701 0.4656 O
```

Crystal system   tetragonal
Density of states at the Fermi level   1.04 states/eV per atom
Total energy   -0.6609 Ry per atom
Formation energy from raw total energies   -3.0039 eV/atom